Material: Hf2TlBiSb
Method: DFT, PBE-GGA
State: relaxed Values from VASP.

M_tot: 0.0 μB per cell
Symmetry: P4/mmm, No. 123
Formation energy (no corrections): 0.894 eV per atom

Cell and atoms, written as Quantum ESPRESSO input:
```
&SYSTEM
  ibrav = 0, nat = 5, ntyp = 4
/
ATOMIC_SPECIES
Sb 121.76 Sb.upf
Tl 204.38 Tl.upf
Hf 178.49 Hf.upf
Bi 208.98 Bi.upf
CELL_PARAMETERS angstrom
-2.9856 -2.9572 3.3155
-3.2161 -1.8430 -4.5400
3.3332 -4.1320 -0.6839
ATOMIC_POSITIONS angstrom
Sb 0.0000 0.0000 0.0000
Tl -1.4343 -4.4661 -0.9542
Hf 1.6666 -2.0660 -0.3419
Hf -1.4928 -1.4786 1.6577
Bi -1.6081 -0.9215 -2.2700
```

Material: Pm8Ho6Sc
Method: DFT, PBE-GGA
State: relaxed Values from VASP.

M_tot: 0.0 μB per cell
Symmetry: P-3, No. 147
ΔE to the lowest computed polymorph: 0.000 eV/f.u.
Formation energy: 0.172 eV/atom

Cell and atoms, written as Quantum ESPRESSO input:
```
&SYSTEM
  ibrav = 0, nat = 15, ntyp = 3
/
ATOMIC_SPECIES
Pm 145.00 Pm.upf
Ho 164.93 Ho.upf
Sc 44.96 Sc.upf
CELL_PARAMETERS angstrom
-2.1432 -5.0131 3.4371
8.7905 -3.1933 0.8239
-3.4754 5.8938 6.4292
ATOMIC_POSITIONS angstrom
Pm -2.3656 -2.6002 4.6435
Pm 1.9344 -1.9215 8.3147
Pm -3.0020 0.7823 9.1802
Pm 5.5375 0.2876 6.0466
Pm 1.2375 -0.3911 2.3754
Pm 6.1739 -3.0949 1.5099
Pm -1.2401 -1.4702 7.5329
Pm 4.4120 -0.8424 3.1572
Ho 3.9716 -4.8630 3.4423
Ho 4.5882 -2.9504 6.6164
Ho 1.2585 -2.7078 4.8939
Ho -0.7997 2.5504 7.2478
Ho -1.4163 0.6378 4.0738
Ho 1.9134 0.3952 5.7962
Sc -1.0716 -2.5065 1.7186
```

Material: PmNiHg
Method: DFT, PBE-GGA
State: relaxed Values from VASP.

M_tot: 0.0 μB per cell
Symmetry: Cmcm, No. 63
ΔE to the lowest computed polymorph: 0.906 eV/f.u.
Formation energy: -0.129 eV/atom

Cell and atoms, written as Quantum ESPRESSO input:
```
&SYSTEM
  ibrav = 0, nat = 6, ntyp = 3
/
ATOMIC_SPECIES
Hg 200.59 Hg.upf
Ni 58.69 Ni.upf
Pm 145.00 Pm.upf
CELL_PARAMETERS angstrom
4.7993 0.0000 0.0000
0.0000 4.0734 0.0000
0.0000 2.0367 7.1688
ATOMIC_POSITIONS angstrom
Hg 3.5995 4.0734 5.7414
Hg 1.1998 2.0367 1.4274
Ni 2.3997 0.0000 0.0000
Ni 0.0000 0.0000 0.0000
Pm 3.5995 4.0734 2.3886
Pm 1.1998 2.0367 4.7802
```

Material: NdNbCo4
Method: DFT, PBE-GGA
State: relaxed Values from VASP.

M_tot: 1.8 μB per cell
Symmetry: F-43m, No. 216
Formation energy: 0.062 eV/atom

Cell and atoms, written as Quantum ESPRESSO input:
```
&SYSTEM
  ibrav = 0, nat = 6, ntyp = 3
/
ATOMIC_SPECIES
Co 58.93 Co.upf
Nb 92.91 Nb.upf
Nd 144.24 Nd.upf
CELL_PARAMETERS angstrom
-0.0573 4.5588 -1.9474
-2.0387 3.7484 2.5243
2.8780 3.5516 1.9189
ATOMIC_POSITIONS angstrom
Co -0.9457 5.6370 0.6026
Co 1.5043 5.5389 0.3009
Co 0.4884 7.4067 1.5587
Co 0.5170 5.1351 2.5291
Nb 0.1955 2.9647 0.6239
Nd 0.0000 0.0000 0.0000
```

Material: Ba2NiP
Method: DFT, PBE-GGA
State: relaxed Values from VASP.

M_tot: 0.0 μB per cell
Symmetry: F-43m, No. 216
Formation energy: 0.133 eV/atom

Cell and atoms, written as Quantum ESPRESSO input:
```
&SYSTEM
  ibrav = 0, nat = 4, ntyp = 3
/
ATOMIC_SPECIES
Ba 137.33 Ba.upf
Ni 58.69 Ni.upf
P 30.97 P.upf
CELL_PARAMETERS angstrom
1.1614 3.7979 3.5343
-3.8871 2.2998 2.8046
-0.4611 -0.9814 5.2046
ATOMIC_POSITIONS angstrom
Ba 0.0000 0.0000 0.0000
Ba -2.3901 3.8372 8.6576
Ni -1.5934 2.5581 5.7718
P -0.7967 1.2791 2.8859
```

Material: La4SbAs
Method: DFT, PBE-GGA
State: relaxed Values from VASP.

M_tot: 0.0 μB per cell
Symmetry: F-43m, No. 216
Formation energy (no corrections): -0.137 eV per atom

Cell and atoms, written as Quantum ESPRESSO input:
```
&SYSTEM
  ibrav = 0, nat = 6, ntyp = 3
/
ATOMIC_SPECIES
La 138.91 La.upf
Sb 121.76 Sb.upf
As 74.92 As.upf
CELL_PARAMETERS angstrom
2.9896 1.0841 5.5178
-3.2428 2.2805 4.9843
-1.1473 -3.7333 5.0304
ATOMIC_POSITIONS angstrom
La 0.9681 0.4032 8.5828
La -1.0985 -2.0033 8.3393
La -2.1452 1.0008 8.3163
La -0.5253 -0.1383 5.8265
Sb -1.0503 -0.2766 11.6494
As 0.0000 0.0000 0.0000
```

Material: Dy2SiS6
Method: DFT, PBE-GGA
State: relaxed Values from VASP.

M_tot: 0.0 μB per cell
Symmetry: P4_2/mnm, No. 136
Formation energy (no corrections): -0.988 eV per atom

Cell and atoms, written as Quantum ESPRESSO input:
```
&SYSTEM
  ibrav = 0, nat = 18, ntyp = 3
/
ATOMIC_SPECIES
Dy 162.50 Dy.upf
Si 28.09 Si.upf
S 32.06 S.upf
CELL_PARAMETERS angstrom
-1.5629 4.6826 -3.4076
-1.2813 -3.7216 -4.5265
-11.0694 -0.8850 3.8610
ATOMIC_POSITIONS angstrom
Dy -3.6801 -0.2942 1.2836
Dy -10.6369 -0.2562 -0.7529
Dy -3.2767 0.3322 -3.3202
Dy -7.3892 -0.5908 2.5774
Si 0.0000 0.0000 0.0000
Si -6.9568 0.0380 -2.0366
S -4.8582 -0.0117 -1.1348
S -5.8994 0.3401 -4.0391
S -10.8242 -2.9422 -1.0111
S -11.0027 2.3856 -0.3018
S -2.9108 -2.3095 -3.7713
S -3.0894 3.0183 -3.0620
S -8.0142 -0.2640 -0.0340
S -9.0554 0.0878 -2.9383
S -0.7742 0.2616 -2.1597
S -2.0700 0.6994 -5.7744
S -6.8801 -2.2496 -2.3411
S -7.0334 2.3257 -1.7320
```

Material: Na2Li5Sn2
Method: DFT, PBE-GGA
State: relaxed Values from VASP.

M_tot: 0.0 μB per cell
Symmetry: Ima2, No. 46
Formation energy: -0.127 eV/atom

Cell and atoms, written as Quantum ESPRESSO input:
```
&SYSTEM
  ibrav = 0, nat = 18, ntyp = 3
/
ATOMIC_SPECIES
Na 22.99 Na.upf
Li 6.94 Li.upf
Sn 118.71 Sn.upf
CELL_PARAMETERS angstrom
-8.3216 -1.0997 2.2533
1.6436 -0.0999 6.0212
2.3682 8.7663 -3.7367
ATOMIC_POSITIONS angstrom
Na 0.0612 -0.0037 0.2240
Na -3.2778 -0.6035 4.3613
Na -0.1374 4.1171 0.3543
Na -4.0461 3.4419 4.6459
Li 1.8091 6.5164 1.4733
Li -5.1746 0.9929 6.5238
Li 0.9835 6.5659 -1.5363
Li -5.9926 1.0433 3.5121
Li -1.0728 2.0751 5.4220
Li -2.2927 5.4341 2.5749
Li -1.8992 2.1245 2.4126
Li -3.1099 5.4847 -0.4369
Li 0.7081 4.0704 3.3555
Li -4.8932 3.4887 1.6391
Sn 0.6049 1.3949 3.3314
Sn -4.7939 6.1645 1.6486
Sn -4.1707 0.9223 1.3915
Sn -0.0183 6.6370 3.5885
```

Material: Ba4HO
Method: DFT, PBE-GGA
State: relaxed Values from VASP.

M_tot: 0.0 μB per cell
Symmetry: Cmcm, No. 63
Energy: -43.02 eV/cell

Cell and atoms, written as Quantum ESPRESSO input:
```
&SYSTEM
  ibrav = 0, nat = 12, ntyp = 3
/
ATOMIC_SPECIES
Ba 137.33 Ba.upf
H 1.01 H.upf
O 16.00 O.upf
CELL_PARAMETERS angstrom
-2.5481 6.7370 1.2923
-4.0802 -0.7283 -6.0309
-7.0065 -3.6437 5.1803
ATOMIC_POSITIONS angstrom
Ba -9.8236 1.0042 4.1997
Ba -6.9568 -0.2750 -1.4324
Ba -6.6616 -1.6801 2.7230
Ba -6.9732 4.0451 -2.2813
Ba -6.6780 2.6400 1.8741
Ba -3.8112 1.3608 -3.7580
Ba -3.0813 0.5171 0.5010
Ba -10.5535 1.8479 -0.0593
H -5.0783 2.0324 -1.1341
H -8.5565 0.3326 1.5758
O -8.0522 2.7898 3.9862
O -5.5826 -0.4248 -3.5445
```

Material: La7Tm3
Method: DFT, PBE-GGA
State: relaxed Values from VASP.

M_tot: 0.0 μB per cell
Symmetry: C2/m, No. 12
Formation energy: 0.074 eV/atom

Cell and atoms, written as Quantum ESPRESSO input:
```
&SYSTEM
  ibrav = 0, nat = 10, ntyp = 2
/
ATOMIC_SPECIES
La 138.91 La.upf
Tm 168.93 Tm.upf
CELL_PARAMETERS angstrom
5.6360 0.0000 -1.7288
-0.5689 6.9734 -1.8547
-0.3432 0.5779 8.9323
ATOMIC_POSITIONS angstrom
La -0.2845 3.4867 -0.9274
La 0.8097 1.8255 2.6397
La 3.9141 5.7258 2.7090
La 1.9108 1.0996 6.2292
La 2.8131 6.4517 -0.8804
La 1.5582 4.4489 5.0799
La 3.1656 3.1024 0.2688
Tm 0.0000 0.0000 0.0000
Tm 0.5467 5.4531 1.7822
Tm 4.1771 2.0982 3.5665
```

Material: SrPt2Cl
Method: DFT, PBE-GGA
State: relaxed Values from VASP.

M_tot: 0.0 μB per cell
Symmetry: F-43m, No. 216
Formation energy (no corrections): -0.288 eV per atom
ΔE to the lowest computed polymorph: 2.057 eV/f.u.

Cell and atoms, written as Quantum ESPRESSO input:
```
&SYSTEM
  ibrav = 0, nat = 4, ntyp = 3
/
ATOMIC_SPECIES
Cl 35.45 Cl.upf
Pt 195.08 Pt.upf
Sr 87.62 Sr.upf
CELL_PARAMETERS angstrom
-4.6062 1.6712 -0.3479
-1.5666 -3.7564 2.7508
3.5602 2.9456 1.6671
ATOMIC_POSITIONS angstrom
Cl -2.0662 1.7871 1.2604
Pt 0.0000 0.0000 0.0000
Pt -0.5464 -0.9267 2.8097
Sr -3.0864 -1.0426 1.2015
```

Material: K2LaBr
Method: DFT, PBE-GGA
State: relaxed Values from VASP.

M_tot: 0.0 μB per cell
Symmetry: P4/mmm, No. 123
Formation energy (no corrections): -0.538 eV per atom
ΔE to the lowest computed polymorph: 0.075 eV/f.u.

Cell and atoms, written as Quantum ESPRESSO input:
```
&SYSTEM
  ibrav = 0, nat = 4, ntyp = 3
/
ATOMIC_SPECIES
Br 79.90 Br.upf
K 39.10 K.upf
La 138.91 La.upf
CELL_PARAMETERS angstrom
3.7827 0.4836 0.0000
-0.4879 3.7822 0.0000
0.0000 0.0000 11.4708
ATOMIC_POSITIONS angstrom
Br 1.6474 2.1329 8.6031
K 0.0000 0.0000 10.6361
K 0.0000 0.0000 6.5701
La 1.6474 2.1329 2.8677
```